1.
This record from Alexandria describes an optimized crystal structure of SrHg2Pb. The functional is PBEsol.

Calculated values
Energy relative to the elements in eV per formula unit: -1.52
E_tot in Ry per atom: -0.1560
Calculated density in Mg/m³: 10.68
Spin magnetization in Bohr magnetons per cell: 0.00

Unit cell a=4.8653 b=4.8653 c=4.5706 alpha=90.00 beta=90.00 gamma=90.00
Last column: nearest neighbours and their distance in Å.
Space group P4/mmm (No. 123)
One atom of each set of equivalent atoms:
Sr (0.0000, 0.0000, 0.0000) x1  8 Hg 3.34, 4 Pb 3.44
Hg (0.0000, 0.5000, 0.5000) x2  4 Pb 3.34, 4 Sr 3.34, 4 Hg 3.44
Pb (0.5000, 0.5000, 0.0000) x1  8 Hg 3.34, 4 Sr 3.44

2.
This record from Alexandria describes an optimized crystal structure of Sr2HgPb. The functional is PBEsol.

Calculated values
Energy relative to the elements in eV per formula unit: -2.38
E_tot in Ry per atom: -0.1953
Calculated density in Mg/m³: 7.64
Spin magnetization in Bohr magnetons per cell: 0.00

Unit cell a=4.0267 b=5.6080 c=5.6085 alpha=90.00 beta=90.00 gamma=90.00
Last column: nearest neighbours and their distance in Å.
Space group Pmm2 (No. 25)
One atom of each set of equivalent atoms:
Sr (0.0000, 0.0000, 0.0000) x1  4 Hg 3.45, 4 Pb 3.45
Sr (0.0000, 0.5000, 0.4990) x1  4 Pb 3.45, 4 Hg 3.45
Hg (0.5000, 0.0000, 0.5006) x1  8 Sr 3.45
Pb (0.5000, 0.5000, 0.9984) x1  8 Sr 3.45

3.
This record from Alexandria describes an optimized crystal structure of Sr2HgPb. The functional is PBEsol.

Calculated values
Energy relative to the elements in eV per formula unit: -2.56
E_tot in Ry per atom: -0.1986
Calculated density in Mg/m³: 7.65
Spin magnetization in Bohr magnetons per cell: 0.00

Unit cell a=7.9709 b=7.9709 c=7.9709 alpha=90.00 beta=90.00 gamma=90.00
Last column: nearest neighbours and their distance in Å.
Space group Fm-3m (No. 225)
One atom of each set of equivalent atoms:
Sr (0.2500, 0.2500, 0.2500) x8  4 Hg 3.45, 4 Pb 3.45
Hg (0.0000, 0.0000, 0.0000) x4  8 Sr 3.45
Pb (0.0000, 0.0000, 0.5000) x4  8 Sr 3.45

4.
This record from Alexandria describes an optimized crystal structure of SrHg2Pb. The functional is PBEsol.

Calculated values
Energy relative to the elements in eV per formula unit: -1.37
E_tot in Ry per atom: -0.1534
Calculated density in Mg/m³: 10.50
Spin magnetization in Bohr magnetons per cell: 0.00

Unit cell a=4.7061 b=4.7061 c=9.9379 alpha=90.00 beta=90.00 gamma=90.00
Last column: nearest neighbours and their distance in Å.
Space group I-4m2 (No. 119)
One atom of each set of equivalent atoms:
Sr (0.0000, 0.0000, 0.0000) x2  8 Hg 3.33-3.42, 4 Pb 3.42
Hg (0.0000, 0.0000, 0.5000) x2  4 Sr 3.33, 4 Hg 3.42, 4 Pb 3.42
Hg (0.0000, 0.5000, 0.2500) x2  4 Pb 3.33, 4 Sr 3.42, 4 Hg 3.42
Pb (0.0000, 0.5000, 0.7500) x2  8 Hg 3.33-3.42, 4 Sr 3.42

5.
This record from Alexandria describes an optimized crystal structure of SrHg2Pb. The functional is PBEsol.

Calculated values
Energy relative to the elements in eV per formula unit: -1.42
E_tot in Ry per atom: -0.1542
Calculated density in Mg/m³: 10.16
Spin magnetization in Bohr magnetons per cell: 0.00

Unit cell a=3.9332 b=4.7483 c=6.3895 alpha=90.00 beta=107.63 gamma=90.00
Last column: nearest neighbours and their distance in Å.
Space group Pm (No. 6)
One atom of each set of equivalent atoms:
Sr (0.0000, 0.0000, 0.0000) x1  7 Hg 3.27-3.45
Hg (0.5930, 0.5000, 0.1820) x1  2 Hg 2.92, 2 Sr 3.27
Hg (0.7173, 0.0000, 0.4611) x1  2 Hg 2.92, 4 Pb 3.22-3.26
Pb (0.3056, 0.5000, 0.6244) x1  7 Hg 3.22-3.40

6.
This record from Alexandria describes an optimized crystal structure of SrHg2Pb. The functional is PBEsol.

Calculated values
Energy relative to the elements in eV per formula unit: -1.56
E_tot in Ry per atom: -0.1569
Calculated density in Mg/m³: 10.54
Spin magnetization in Bohr magnetons per cell: 0.00

Unit cell a=3.8533 b=3.8533 c=7.3839 alpha=90.00 beta=90.00 gamma=90.00
Last column: nearest neighbours and their distance in Å.
Space group P4/mmm (No. 123)
One atom of each set of equivalent atoms:
Sr (0.0000, 0.0000, 0.0000) x1  8 Hg 3.33, 2 Pb 3.69
Hg (0.5000, 0.5000, 0.2604) x2  4 Pb 3.25, 4 Sr 3.33, 1 Hg 3.54
Pb (0.0000, 0.0000, 0.5000) x1  8 Hg 3.25

7.
This record from Alexandria describes an optimized crystal structure of Sr2ZrHgPb. The functional is PBEsol.

Calculated values
Energy relative to the elements in eV per formula unit: 2.93
E_tot in Ry per atom: -0.2118
Calculated density in Mg/m³: 5.79
Spin magnetization in Bohr magnetons per cell: 2.66

Unit cell a=5.9213 b=5.9213 c=5.5118 alpha=90.00 beta=90.00 gamma=90.00
Last column: nearest neighbours and their distance in Å.
Space group P4/mmm (No. 123)
One atom of each set of equivalent atoms:
Sr (0.0000, 0.5000, 0.0000) x2  2 Hg 2.96
Zr (0.0000, 0.0000, 0.5000) x1  8 Sr 4.04, 4 Pb 4.19
Hg (0.5000, 0.5000, 0.0000) x1  2 Pb 2.76, 4 Sr 2.96
Pb (0.5000, 0.5000, 0.5000) x1  2 Hg 2.76

8.
This record from Alexandria describes an optimized crystal structure of TaHgPb2. The functional is PBEsol.

Calculated values
Energy relative to the elements in eV per formula unit: 1.72
E_tot in Ry per atom: -0.3564
Calculated density in Mg/m³: 13.77
Spin magnetization in Bohr magnetons per cell: 0.00

Unit cell a=3.0985 b=4.1231 c=7.5146 alpha=90.00 beta=90.00 gamma=90.00
Last column: nearest neighbours and their distance in Å.
Space group Pmm2 (No. 25)
One atom of each set of equivalent atoms:
Ta (0.0000, 0.0000, 0.0000) x1  4 Hg 2.92, 2 Ta 3.10, 5 Pb 3.12-3.22
Hg (0.5000, 0.5000, 0.1822) x1  4 Ta 2.92, 2 Hg 3.10, 5 Pb 3.12-3.18
Pb (0.0000, 0.0000, 0.4291) x1  2 Pb 3.10, 4 Hg 3.18, 1 Ta 3.22
Pb (0.5000, 0.5000, 0.7667) x1  2 Pb 3.10, 4 Ta 3.12, 1 Hg 3.12

9.
This record from Alexandria describes an optimized crystal structure of TaHgPb2. The functional is PBEsol.

Calculated values
Energy relative to the elements in eV per formula unit: 2.19
E_tot in Ry per atom: -0.3477
Calculated density in Mg/m³: 14.58
Spin magnetization in Bohr magnetons per cell: 0.00

Unit cell a=4.4302 b=4.4302 c=9.2399 alpha=90.00 beta=90.00 gamma=90.00
Last column: nearest neighbours and their distance in Å.
Space group I4/mmm (No. 139)
One atom of each set of equivalent atoms:
Ta (0.0000, 0.0000, 0.0000) x2  4 Hg 3.13, 8 Pb 3.20
Hg (0.0000, 0.0000, 0.5000) x2  4 Ta 3.13, 8 Pb 3.20
Pb (0.0000, 0.5000, 0.2500) x4  4 Pb 3.13, 4 Hg 3.20, 4 Ta 3.20

10.
This record from Alexandria describes an optimized crystal structure of TaHgPb2. The functional is PBEsol.

Calculated values
Energy relative to the elements in eV per formula unit: 1.87
E_tot in Ry per atom: -0.3536
Calculated density in Mg/m³: 14.42
Spin magnetization in Bohr magnetons per cell: 0.00

Unit cell a=10.7605 b=3.0934 c=5.5451 alpha=90.00 beta=96.67 gamma=90.00
Last column: nearest neighbours and their distance in Å.
Space group C2/m (No. 12)
One atom of each set of equivalent atoms:
Ta (0.0000, 0.0000, 0.0000) x2  2 Ta 3.09, 6 Pb 3.14-3.26, 4 Hg 3.17
Hg (0.0000, 0.5000, 0.5000) x2  6 Pb 3.08-3.39, 2 Hg 3.09, 4 Ta 3.17
Pb (0.2373, 0.5000, 0.2391) x4  3 Hg 3.08-3.39, 6 Pb 3.09-3.26, 3 Ta 3.14-3.26

11.
This record from Alexandria describes an optimized crystal structure of TaHgPb2. The functional is PBEsol.

Calculated values
Energy relative to the elements in eV per formula unit: 1.96
E_tot in Ry per atom: -0.3520
Calculated density in Mg/m³: 14.48
Spin magnetization in Bohr magnetons per cell: 0.00

Unit cell a=5.3810 b=5.3810 c=3.1520 alpha=90.00 beta=90.00 gamma=90.00
Last column: nearest neighbours and their distance in Å.
Space group P4/mmm (No. 123)
One atom of each set of equivalent atoms:
Ta (0.0000, 0.0000, 0.0000) x1  8 Pb 3.12, 2 Ta 3.15
Hg (0.5000, 0.5000, 0.0000) x1  8 Pb 3.12, 2 Hg 3.15
Pb (0.0000, 0.5000, 0.5000) x2  4 Hg 3.12, 4 Ta 3.12, 2 Pb 3.15

12.
This record from Alexandria describes an optimized crystal structure of TcHg2Pb. The functional is PBEsol.

Calculated values
Energy relative to the elements in eV per formula unit: 2.36
E_tot in Ry per atom: -0.2580
Calculated density in Mg/m³: 13.97
Spin magnetization in Bohr magnetons per cell: 1.39

Unit cell a=3.2016 b=4.8891 c=5.5542 alpha=90.00 beta=105.05 gamma=90.00
Last column: nearest neighbours and their distance in Å.
Space group P2/m (No. 10)
One atom of each set of equivalent atoms:
Tc (0.0000, 0.0000, 0.0000) x1  2 Pb 2.78, 4 Hg 2.87
Hg (0.3762, 0.5000, 0.2265) x2  3 Hg 2.83-3.00, 2 Tc 2.87
Pb (0.0000, 0.0000, 0.5000) x1  2 Tc 2.78

13.
This record from Alexandria describes an optimized crystal structure of TiTcHg2Pb. The functional is PBEsol.

Calculated values
Energy relative to the elements in eV per formula unit: 3.88
E_tot in Ry per atom: -0.3063
Calculated density in Mg/m³: 10.42
Spin magnetization in Bohr magnetons per cell: 0.02

Unit cell a=5.2714 b=5.2714 c=4.3243 alpha=90.00 beta=90.00 gamma=90.00
Last column: nearest neighbours and their distance in Å.
Space group P4/mmm (No. 123)
One atom of each set of equivalent atoms:
Ti (0.0000, 0.0000, 0.0000) x1  2 Tc 2.16
Tc (0.0000, 0.0000, 0.5000) x1  2 Ti 2.16
Hg (0.0000, 0.5000, 0.0000) x2  2 Ti 2.64
Pb (0.5000, 0.5000, 0.5000) x1  8 Hg 3.41, 4 Tc 3.73

14.
This record from Alexandria describes an optimized crystal structure of HgTe3Pb. The functional is PBEsol.

Calculated values
E_tot in Ry per atom: -0.1962
Calculated density in Mg/m³: 7.81
Spin magnetization in Bohr magnetons per cell: 0.00
E_form (uncorrected) in meV per atom: 359.6

Unit cell a=5.5180 b=5.5180 c=5.5180 alpha=90.00 beta=90.00 gamma=90.00
Last column: nearest neighbours and their distance in Å.
Space group Pm-3m (No. 221)
One atom of each set of equivalent atoms:
Hg (0.0000, 0.0000, 0.0000) x1  6 Te 2.76
Te (0.0000, 0.0000, 0.5000) x3  2 Hg 2.76
Pb (0.5000, 0.5000, 0.5000) x1  12 Te 3.90

15.
This record from Alexandria describes an optimized crystal structure of HgTePb. The functional is PBEsol.

Calculated values
E_tot in Ry per atom: -0.2031
Calculated density in Mg/m³: 8.79
Spin magnetization in Bohr magnetons per cell: 0.00
E_form (uncorrected) in meV per atom: -66.8
ΔE to the lowest computed polymorph in eV per atom: 0.000

Unit cell a=7.3953 b=7.3953 c=7.3953 alpha=90.00 beta=90.00 gamma=90.00
Last column: nearest neighbours and their distance in Å.
Space group F-43m (No. 216)
One atom of each set of equivalent atoms:
Hg (0.0000, 0.0000, 0.0000) x4  4 Pb 3.20
Te (0.0000, 0.0000, 0.5000) x4  4 Pb 3.20
Pb (0.2500, 0.2500, 0.2500) x4  4 Hg 3.20, 4 Te 3.20